(1)
An optimized crystal structure of AcPrTmZn, computed with GGA-PBE.

Calculated values
The calculation puts the energy of formation at 0.18 eV per atom. Its space-group type is F-43m, No. 216.

a = 5.582 Å, b = 5.582 Å, c = 5.582 Å
α = 60.00°, β = 60.00°, γ = 60.00°
Fractional positions:
Ac 0.000 0.000 0.000
Pr 0.250 0.250 0.250
Tm 0.750 0.750 0.750
Zn 0.500 0.500 0.500

(2)
An optimized crystal structure of Ac2PrV, computed with GGA-PBE.

Calculated values
The calculation puts the energy of formation at 0.74 eV per atom. Its space-group type is R-3m, No. 166.

a = 12.536 Å, b = 12.536 Å, c = 12.536 Å
α = 17.02°, β = 17.02°, γ = 17.02°
Fractional positions:
Ac 0.081 0.081 0.081
Ac 0.919 0.919 0.919
Pr 0.500 0.500 0.500
V 0.000 0.000 0.000

(3)
An optimized crystal structure of Ac2PrY, computed with GGA-PBE.

Calculated values
The calculation puts the distance to the lowest polymorph of the same formula at 0.0 kJ per mole of atoms. The calculation puts the energy of formation at 0.03 eV per atom. Its space-group type is P4/mmm, No. 123.

a = 5.443 Å, b = 5.443 Å, c = 5.282 Å
α = 90.00°, β = 90.00°, γ = 90.00°
Fractional positions:
Ac 0.000 0.500 0.000
Ac 0.500 0.000 0.000
Pr 0.000 0.000 0.500
Y 0.500 0.500 0.500

(4)
An optimized crystal structure of Ac8Pr2Y, computed with GGA-PBE.

Calculated values
The calculation puts the distance to the lowest polymorph of the same formula at 32.4 kJ per mole of atoms. The calculation puts the energy of formation at 0.37 eV per atom. Its space-group type is C2/m, No. 12.

a = 9.180 Å, b = 9.180 Å, c = 6.334 Å
α = 100.33°, β = 100.33°, γ = 87.01°
Fractional positions:
Ac 0.084 0.084 0.291
Ac 0.157 0.642 0.200
Ac 0.232 0.232 0.883
Ac 0.358 0.843 0.800
Ac 0.642 0.157 0.200
Ac 0.768 0.768 0.117
Ac 0.843 0.358 0.800
Ac 0.916 0.916 0.709
Pr 0.370 0.370 0.484
Pr 0.630 0.630 0.516
Y 0.500 0.500 0.000

(5)
An optimized crystal structure of Ac3Pr6Y2, computed with GGA-PBE.

Calculated values
The calculation puts the energy of formation at 0.03 eV per atom. Its space-group type is P-1, No. 2.

a = 6.518 Å, b = 8.412 Å, c = 8.458 Å
α = 107.53°, β = 105.06°, γ = 97.70°
Fractional positions:
Ac 0.000 0.000 0.000
Ac 0.094 0.813 0.365
Ac 0.906 0.187 0.635
Pr 0.186 0.638 0.733
Pr 0.363 0.282 0.454
Pr 0.454 0.096 0.821
Pr 0.546 0.904 0.179
Pr 0.637 0.718 0.546
Pr 0.814 0.362 0.267
Y 0.278 0.459 0.090
Y 0.722 0.541 0.910

(6)
An optimized crystal structure of Ac12PrY3, computed with GGA-PBE.

Calculated values
The calculation puts the energy of formation at 0.03 eV per atom. Its space-group type is P4/mmm, No. 123.

a = 5.510 Å, b = 5.510 Å, c = 22.025 Å
α = 90.00°, β = 90.00°, γ = 90.00°
Fractional positions:
Ac 0.000 0.000 0.000
Ac 0.000 0.000 0.249
Ac 0.000 0.000 0.500
Ac 0.000 0.000 0.751
Ac 0.000 0.500 0.124
Ac 0.000 0.500 0.374
Ac 0.000 0.500 0.626
Ac 0.000 0.500 0.876
Ac 0.500 0.000 0.124
Ac 0.500 0.000 0.374
Ac 0.500 0.000 0.626
Ac 0.500 0.000 0.876
Pr 0.500 0.500 0.500
Y 0.500 0.500 0.000
Y 0.500 0.500 0.249
Y 0.500 0.500 0.751